Entry 1:
Density functional theory data (PBE) for an optimized crystal structure of H12WBr6.

- uncorrected energy (eV/f.u.) = -59.3

a b c (Å): 8.0028 8.0021 8.0025
angles (deg): 77.40 77.39 77.40
With the nearest neighbours (Å) after each atom.
Fractional coordinates of all 19 atoms:
H (0.8667, 0.2009, 0.9330)  2 H 1.77, 1 W 1.77
H (0.0670, 0.1333, 0.7991)  1 W 1.77, 2 H 1.77
H (0.7216, 0.5823, 0.1675)  1 Br 1.47
H (0.2009, 0.9330, 0.8667)  1 W 1.77, 2 H 1.77
H (0.7991, 0.0670, 0.1333)  1 W 1.77, 2 H 1.77
H (0.9330, 0.8667, 0.2009)  1 W 1.77, 2 H 1.77
H (0.1333, 0.7991, 0.0670)  2 H 1.77, 1 W 1.77
H (0.5823, 0.1675, 0.7216)  1 Br 1.47
H (0.1675, 0.7216, 0.5823)  1 Br 1.47
H (0.8325, 0.2784, 0.4177)  1 Br 1.47
H (0.2784, 0.4177, 0.8325)  1 Br 1.47
H (0.4177, 0.8325, 0.2784)  1 Br 1.47
Br (0.9372, 0.4019, 0.3014)  1 H 1.47
Br (0.5981, 0.6986, 0.0628)  1 H 1.47
Br (0.6986, 0.0628, 0.5981)  1 H 1.47
Br (0.0628, 0.5981, 0.6986)  1 H 1.47
Br (0.3014, 0.9372, 0.4019)  1 H 1.47
Br (0.4019, 0.3014, 0.9372)  1 H 1.47
W (0.0000, 0.0000, 0.0000)  6 H 1.77

***

Entry 2:
Density functional theory data (PBE) for an optimized crystal structure of HWBr2.

- distance to the lowest polymorph of the same formula (eV/atom) = 0.280

a b c (Å): 5.5584 5.5584 6.2084
angles (deg): 63.41 63.41 90.00
With the nearest neighbours (Å) after each atom.
Fractional coordinates of all 8 atoms:
Br (0.8750, 0.8227, 0.7500)  2 H 2.14
Br (0.3750, 0.4273, 0.7500)  2 H 2.14
Br (0.5727, 0.1250, 0.2500)  2 H 2.14
Br (0.1773, 0.6250, 0.2500)  2 H 2.14
H (0.2500, 0.7500, 0.5000)  4 Br 2.14
H (0.5000, 0.5000, 0.0000)  4 Br 2.14
W (0.0000, 0.0000, 0.0000)  4 Br 2.49
W (0.7500, 0.2500, 0.5000)  4 Br 2.49

***

Entry 3:
Density functional theory data (PBE) for an optimized crystal structure of HWBr2.

- distance to the lowest polymorph of the same formula (eV/atom) = 0.265

a b c (Å): 4.4315 4.4315 4.4315
angles (deg): 60.00 60.00 60.00
With the nearest neighbours (Å) after each atom.
Fractional coordinates of all 4 atoms:
W (0.5000, 0.5000, 0.5000)  8 Br 2.71
Br (0.2500, 0.2500, 0.2500)  4 W 2.71, 4 H 2.71
Br (0.7500, 0.7500, 0.7500)  4 H 2.71, 4 W 2.71
H (0.0000, 0.0000, 0.0000)  8 Br 2.71

***

Entry 4:
Density functional theory data (PBE) for an optimized crystal structure of H2WBr6.

- uncorrected energy (eV/f.u.) = -32.5

a b c (Å): 6.5328 11.9085 11.9085
angles (deg): 66.61 57.11 57.11
With the nearest neighbours (Å) after each atom.
Fractional coordinates of all 18 atoms:
Br (0.1430, 0.4547, 0.2796)  1 H 1.45
Br (0.9027, 0.1596, 0.0237)  2 W 2.59-2.65
Br (0.3570, 0.7204, 0.5453)  1 H 1.45
Br (0.0973, 0.8404, 0.9763)  2 W 2.59-2.65
Br (0.8570, 0.5453, 0.7204)  1 H 1.45
Br (0.4025, 0.3123, 0.8994)  1 W 2.44
Br (0.5975, 0.6877, 0.1006)  1 W 2.44
Br (0.0975, 0.1006, 0.6877)  1 W 2.44
Br (0.5973, 0.9763, 0.8404)  2 W 2.59-2.65
Br (0.4027, 0.0237, 0.1596)  2 W 2.59-2.65
Br (0.9025, 0.8994, 0.3123)  1 W 2.44
Br (0.6430, 0.2796, 0.4547)  1 H 1.45
H (0.6782, 0.6104, 0.6544)  1 Br 1.45
H (0.3218, 0.3896, 0.3456)  1 Br 1.45
H (0.1782, 0.6544, 0.6104)  1 Br 1.45
H (0.8218, 0.3456, 0.3896)  1 Br 1.45
W (0.7500, 0.0836, 0.9164)  6 Br 2.44-2.65
W (0.2500, 0.9164, 0.0836)  6 Br 2.44-2.65